The following is a PBE calculation of a relaxed UTl2Bi2S6 crystal, from the Alexandria database.

a b c (Å): 7.095 12.255 7.922
angles (deg): 90.00 107.77 90.00
Space group C2/m (No. 12)
Inequivalent atoms, fractional coordinates:
U1 0.000 0.000 0.000 (multiplicity 2)
Tl1 0.000 0.169 0.500 (multiplicity 4)
Bi1 0.000 0.332 0.000 (multiplicity 4)
S1 0.226 0.161 0.199 (multiplicity 8)
S2 0.245 0.000 0.798 (multiplicity 4)

Computed properties:
Formation energy from raw total energies ... -0.678 eV/atom